## RbHg2Rh2 (PBE-GGA)

Data for RbHg2Rh2 after structural relaxation.

The structure in CIF format:
```
data_RbHg2Rh2
_cell_length_a 8.3421
_cell_length_b 8.3421
_cell_length_c 3.0587
_cell_angle_alpha 90.00
_cell_angle_beta 90.00
_cell_angle_gamma 90.00
_space_group_name_H-M_alt 'P 1'
_space_group_IT_number 1
loop_
_space_group_symop_operation_xyz
'x,y,z'
loop_
_atom_site_label
_atom_site_type_symbol
_atom_site_fract_x
_atom_site_fract_y
_atom_site_fract_z
Rh1 Rh 0.3869 0.8869 0.0000
Rh2 Rh 0.8869 0.6131 0.0000
Rh3 Rh 0.6131 0.1131 0.0000
Rh4 Rh 0.1131 0.3869 0.0000
Hg1 Hg 0.1770 0.6770 0.5000
Hg2 Hg 0.6770 0.8230 0.5000
Hg3 Hg 0.8230 0.3230 0.5000
Hg4 Hg 0.3230 0.1770 0.5000
Rb1 Rb 0.0000 0.0000 0.0000
Rb2 Rb 0.5000 0.5000 0.0000
```

Calculated values
Its electronic total energy is -30.3 eV per cell. Its energy of formation is 0.2218 eV/atom. Its space group is P4/mbm, No. 127.



## RbHgRh3 (PBE-GGA)

Data for RbHgRh3 after structural relaxation.

The structure in CIF format:
```
data_RbHgRh3
_cell_length_a 5.1345
_cell_length_b 5.1345
_cell_length_c 5.1345
_cell_angle_alpha 90.00
_cell_angle_beta 90.00
_cell_angle_gamma 90.00
_space_group_name_H-M_alt 'P 1'
_space_group_IT_number 1
loop_
_space_group_symop_operation_xyz
'x,y,z'
loop_
_atom_site_label
_atom_site_type_symbol
_atom_site_fract_x
_atom_site_fract_y
_atom_site_fract_z
Rh1 Rh 0.0000 0.5000 0.0000
Rh2 Rh 0.0000 0.0000 0.5000
Rh3 Rh 0.5000 0.0000 0.0000
Hg1 Hg 0.0000 0.0000 0.0000
Rb1 Rb 0.5000 0.5000 0.5000
```

Calculated values
Its electronic total energy is -16.8 eV per cell. Its energy of formation is 1.3085 eV/atom. Its space group is Pm-3m, No. 221.